The following is a PBEsol calculation of a relaxed structure of MgCdSb2, from the Alexandria database.

abc: 4.164 4.164 5.889
angles: 90.00 90.00 90.00
Fractional positions:
Mg1 0.000 0.000 0.000
Cd1 0.500 0.500 0.541
Sb1 0.000 0.000 0.502
Sb2 0.500 0.500 0.037

The value obtained for the raw formation energy is -29 meV/atom.